[1]
The following is a PBE calculation of an optimized crystal structure of HgRuC3, from the Alexandria database.

## Properties
E_tot ... -26.7 eV for the cell shown
Energy relative to the lowest polymorph listed for this composition ... 0 meV per atom
ΔE_f ... 2.12 eV per atom

```
HgRuC3
1.0
4.0624 0.0000 0.0000
0.0000 4.0624 0.0000
0.0000 0.0000 4.0624
Hg Ru C
1 1 3
direct
0.0000 0.0000 0.0000
0.5000 0.5000 0.5000
0.0000 0.5000 0.5000
0.5000 0.0000 0.5000
0.5000 0.5000 0.0000
```

=====

[2]
The following is a PBE calculation of an optimized crystal structure of HgRu2CS, from the Alexandria database.

## Properties
E_tot ... -22.4 eV for the cell shown
E_form (uncorrected) ... 1.955 eV/atom

```
HgRu2CS
1.0
4.2960 0.0000 0.0000
0.0000 4.2960 0.0000
0.0000 0.0000 5.0464
Hg Ru C S
1 2 1 1
direct
0.0000 0.0000 0.0000
0.0000 0.5000 0.5000
0.5000 0.0000 0.5000
0.5000 0.5000 0.0000
0.0000 0.0000 0.5000
```

=====

[3]
The following is a PBE calculation of an optimized crystal structure of Sc2HgRuC, from the Alexandria database.

## Properties
E_tot ... -33.9 eV for the cell shown
ΔE_f ... -0.49 eV per atom

```
Sc2HgRuC
1.0
4.6359 0.0000 0.0000
0.0000 4.6359 0.0000
0.0000 0.0000 3.9183
Sc Hg Ru C
2 1 1 1
direct
0.0000 0.5000 0.0000
0.5000 0.0000 0.0000
0.0000 0.0000 0.5000
0.5000 0.5000 0.5000
0.5000 0.5000 0.0000
```

=====

[4]
The following is a PBE calculation of an optimized crystal structure of Sm2HgRuC, from the Alexandria database.

## Properties
E_tot ... -30.2 eV for the cell shown
ΔE_f ... -0.39 eV per atom

```
Sm2HgRuC
1.0
5.1852 0.0000 0.0000
0.0000 5.1852 0.0000
0.0000 0.0000 3.9288
Sm Hg Ru C
2 1 1 1
direct
0.0000 0.5000 0.0000
0.5000 0.0000 0.0000
0.0000 0.0000 0.5000
0.5000 0.5000 0.5000
0.5000 0.5000 0.0000
```

=====

[5]
The following is a PBE calculation of an optimized crystal structure of Y2HgRuC, from the Alexandria database.

## Properties
E_tot ... -34.1 eV for the cell shown
ΔE_f ... -0.47 eV per atom

```
Y2HgRuC
1.0
5.0343 0.0000 0.0000
0.0000 5.0343 0.0000
0.0000 0.0000 3.9311
Y Hg Ru C
2 1 1 1
direct
0.0000 0.5000 0.0000
0.5000 0.0000 0.0000
0.0000 0.0000 0.5000
0.5000 0.5000 0.5000
0.5000 0.5000 0.0000
```

=====

[6]
The following is a PBE calculation of an optimized crystal structure of HgCS2, from the Alexandria database.

## Properties
E_tot ... -13.3 eV for the cell shown
E_form (uncorrected) ... 1.130 eV/atom
Energy relative to the lowest polymorph listed for this composition ... 890 meV per atom

```
HgCS2
1.0
1.4887 0.8595 9.1252
-1.4887 0.8595 9.1252
0.0000 -1.7190 9.1252
Hg C S
1 1 2
direct
0.0000 0.0000 0.0000
0.5000 0.5000 0.5000
0.1218 0.1218 0.1218
0.8782 0.8782 0.8782
```

=====

[7]
The following is a PBE calculation of an optimized crystal structure of HgCS3, from the Alexandria database.

## Properties
E_tot ... -15.7 eV for the cell shown
E_form (uncorrected) ... 1.242 eV/atom
Energy relative to the lowest polymorph listed for this composition ... 0 meV per atom

```
HgCS3
1.0
4.2709 0.0000 0.0000
0.0000 4.2709 0.0000
0.0000 0.0000 4.2709
Hg C S
1 1 3
direct
0.0000 0.0000 0.0000
0.5000 0.5000 0.5000
0.0000 0.5000 0.5000
0.5000 0.0000 0.5000
0.5000 0.5000 0.0000
```

=====

[8]
The following is a PBE calculation of an optimized crystal structure of HgC2S, from the Alexandria database.

## Properties
E_tot ... -33.4 eV for the cell shown
E_form (uncorrected) ... 1.544 eV/atom
Energy relative to the lowest polymorph listed for this composition ... 0 meV per atom

```
HgC2S
1.0
-2.4477 2.4477 4.1295
2.4477 -2.4477 4.1295
2.4477 2.4477 -4.1295
Hg C S
2 4 2
direct
0.0000 0.0000 0.0000
0.7500 0.2500 0.5000
0.2214 0.6250 0.0964
0.3750 0.4714 0.5964
0.5286 0.1250 0.9036
0.8750 0.7786 0.4036
0.2500 0.7500 0.5000
0.5000 0.5000 0.0000
```

=====

[9]
The following is a PBE calculation of an optimized crystal structure of HgCS2, from the Alexandria database.

## Properties
E_tot ... -16.8 eV for the cell shown
E_form (uncorrected) ... 0.240 eV/atom
Energy relative to the lowest polymorph listed for this composition ... 0 meV per atom

```
HgCS2
1.0
2.1144 1.2207 9.2798
-2.1144 1.2207 9.2798
0.0000 -2.4415 9.2798
Hg C S
1 1 2
direct
0.0000 0.0000 0.0000
0.5000 0.5000 0.5000
0.4441 0.4441 0.4441
0.5559 0.5559 0.5559
```

=====

[10]
The following is a PBE calculation of an optimized crystal structure of HgCS3, from the Alexandria database.

## Properties
E_tot ... -10.0 eV for the cell shown
E_form (uncorrected) ... 2.388 eV/atom
Energy relative to the lowest polymorph listed for this composition ... 1146 meV per atom

```
HgCS3
1.0
4.9598 0.0000 0.0000
0.0000 4.9598 0.0000
0.0000 0.0000 4.9598
Hg C S
1 1 3
direct
0.0000 0.0000 0.0000
0.5000 0.5000 0.5000
0.0000 0.0000 0.5000
0.0000 0.5000 0.0000
0.5000 0.0000 0.0000
```

=====

[11]
The following is a PBE calculation of an optimized crystal structure of Hg2CS, from the Alexandria database.

## Properties
E_tot ... -19.2 eV for the cell shown
E_form (uncorrected) ... 1.094 eV/atom
Energy relative to the lowest polymorph listed for this composition ... 0 meV per atom

```
Hg2CS
1.0
-2.8886 2.8886 5.1759
2.8886 -2.8886 5.1759
2.8886 2.8886 -5.1759
Hg C S
4 2 2
direct
0.0606 0.6250 0.9356
0.3750 0.3106 0.4356
0.6894 0.1250 0.0644
0.8750 0.9394 0.5644
0.0000 0.0000 0.0000
0.7500 0.2500 0.5000
0.2500 0.7500 0.5000
0.5000 0.5000 0.0000
```

=====

[12]
The following is a PBE calculation of an optimized crystal structure of Hg3CS, from the Alexandria database.

## Properties
E_tot ... -9.6 eV for the cell shown
E_form (uncorrected) ... 0.930 eV/atom
Energy relative to the lowest polymorph listed for this composition ... 0 meV per atom

```
Hg3CS
1.0
4.6484 0.0000 0.0000
0.0000 4.6484 0.0000
0.0000 0.0000 4.6484
Hg C S
3 1 1
direct
0.0000 0.0000 0.5000
0.0000 0.5000 0.0000
0.5000 0.0000 0.0000
0.0000 0.0000 0.0000
0.5000 0.5000 0.5000
```

=====

Number 1: V 13.4 A^3/atom. Number 2: V 18.6 A^3/atom. Number 3: V 16.8 A^3/atom. Number 4: V 21.1 A^3/atom. Number 5: V 19.9 A^3/atom. Number 6: V 17.5 A^3/atom. Number 7: V 15.6 A^3/atom. Number 8: V 12.4 A^3/atom. Number 9: V 35.9 A^3/atom. Number 10: V 24.4 A^3/atom. Number 11: V 21.6 A^3/atom. Number 12: V 20.1 A^3/atom.